Entry 1:
DFT (PBE-GGA) results for CoB2Au after structural relaxation.

Geometry as extended XYZ:
```
16
Lattice="5.444 0.000 0.000 0.000 5.444 0.000 0.000 0.000 5.444" Properties=species:S:1:pos:R:3 pbc="T T T"
Co 0.000 0.000 0.000
Co 0.000 2.722 2.722
Co 2.722 0.000 2.722
Co 2.722 2.722 0.000
B 1.361 1.361 1.361
B 1.361 1.361 4.083
B 1.361 4.083 1.361
B 1.361 4.083 4.083
B 4.083 1.361 1.361
B 4.083 1.361 4.083
B 4.083 4.083 1.361
B 4.083 4.083 4.083
Au 0.000 0.000 2.722
Au 0.000 2.722 0.000
Au 2.722 0.000 0.000
Au 2.722 2.722 2.722
```

Properties
Energy of formation ... 0.89 eV/atom
Distance to the lowest polymorph of the same formula ... 234.7 meV/atom
VASP energy ... -5.04 eV per atom
Density of states at the Fermi level ... 16.50 states/eV per cell

***

Entry 2:
DFT (PBE-GGA) results for Sr2YNi after structural relaxation.

Geometry as extended XYZ:
```
8
Lattice="3.662 0.000 0.000 0.000 4.200 0.000 0.000 0.000 18.397" Properties=species:S:1:pos:R:3 pbc="T T T"
Sr 0.000 0.000 2.919
Sr 0.000 0.000 15.478
Sr 1.831 2.100 6.279
Sr 1.831 2.100 12.118
Y 0.000 2.100 0.000
Y 1.831 0.000 9.199
Ni 0.000 2.100 9.199
Ni 1.831 0.000 0.000
```

Properties
Energy of formation ... 0.05 eV/atom
Distance to the lowest polymorph of the same formula ... 64.3 meV/atom
VASP energy ... -3.85 eV per atom
Density of states at the Fermi level ... 7.88 states/eV per cell

***

Entry 3:
DFT (PBE-GGA) results for SmDyTlRh after structural relaxation.

Geometry as extended XYZ:
```
4
Lattice="3.542 0.000 0.000 0.000 3.542 0.000 0.000 0.000 7.816" Properties=species:S:1:pos:R:3 pbc="T T T"
Sm 0.000 0.000 0.000
Dy 0.000 0.000 4.482
Tl 1.771 1.771 2.293
Rh 1.771 1.771 6.056
```

Properties
Energy of formation ... -0.58 eV/atom
Distance to the lowest polymorph of the same formula ... 0.0 meV/atom
VASP energy ... -5.34 eV per atom
Density of states at the Fermi level ... 3.15 states/eV per cell